No. 1
A geometry-optimized ScGa6Rh structure, computed with GGA-PBE.

DFT formation energy = -0.294 eV per atom
N(E_F) = 2.90 states/eV per cell

Geometry as POSCAR:
```
ScGa6Rh
1.0
3.345 -4.797 0.000
3.345 4.797 0.000
0.000 0.000 4.295
Sc Ga Rh
1 6 1
direct
0.000 0.000 0.000
0.000 0.500 0.000
0.206 0.794 0.500
0.297 0.297 0.500
0.500 0.000 0.000
0.703 0.703 0.500
0.794 0.206 0.500
0.500 0.500 0.000
```

No. 2
A geometry-optimized AgHg2Bi2Pd7 structure, computed with GGA-PBE.

DFT formation energy = -0.054 eV per atom
N(E_F) = 8.88 states/eV per cell

Geometry as POSCAR:
```
AgHg2Bi2Pd7
1.0
2.735 -2.735 0.000
2.735 2.735 0.000
-2.720 0.000 15.933
Ag Hg Bi Pd
1 2 2 7
direct
0.000 0.000 0.000
0.369 0.369 0.739
0.631 0.631 0.261
0.191 0.191 0.380
0.809 0.809 0.620
0.066 0.566 0.132
0.275 0.275 0.552
0.434 0.934 0.868
0.500 0.500 0.000
0.566 0.066 0.132
0.725 0.725 0.448
0.934 0.434 0.868
```